## A
A plane-wave DFT calculation with PBE-GGA was carried out for crystalline KOsRh at its relaxed geometry.

Lattice parameters (Å, degrees): 8.027 4.408 6.973 90.00 90.00 90.00
Element x y z (fractional)
Rh  0.347  0.250  0.088
K  0.500  0.750  0.362
Os  0.150  0.250  0.417
Rh  0.847  0.250  0.412
Rh  0.153  0.750  0.588
Os  0.650  0.250  0.083
Os  0.850  0.750  0.583
K  0.000  0.250  0.862
Os  0.350  0.750  0.917
K  0.000  0.750  0.138
Rh  0.653  0.750  0.912
K  0.500  0.250  0.638

Space-group type ... No. 62
Total magnetic moment ... 0.00 μB per formula unit

=====

## B
A plane-wave DFT calculation with PBE-GGA was carried out for crystalline KOsRh at its relaxed geometry.

Lattice parameters (Å, degrees): 16.223 7.714 7.714 159.29 154.99 25.01
Element x y z (fractional)
Os  0.633  0.362  0.638
K  0.347  0.328  0.672
Rh  0.062  0.939  0.061
K  0.850  0.470  0.530
Rh  0.830  0.785  0.215
Os  0.342  0.084  0.916

Space-group type ... No. 8
Total magnetic moment ... 0.00 μB per formula unit

=====

## C
A plane-wave DFT calculation with PBE-GGA was carried out for crystalline KOsRh at its relaxed geometry.

Lattice parameters (Å, degrees): 7.559 7.558 2.846 79.15 79.15 21.70
Element x y z (fractional)
Os  0.304  0.304  0.696
K  0.002  0.002  0.998
Rh  0.694  0.694  0.306

Space-group type ... No. 107
Total magnetic moment ... 0.00 μB per formula unit

=====

## D
A plane-wave DFT calculation with PBE-GGA was carried out for crystalline KOsRh at its relaxed geometry.

Lattice parameters (Å, degrees): 4.109 4.109 11.102 90.00 90.00 120.00
Element x y z (fractional)
Rh  0.667  0.333  0.250
Rh  0.333  0.667  0.750
K  0.000  0.000  0.000
Os  0.333  0.667  0.250
K  0.000  0.000  0.500
Os  0.667  0.333  0.750

Space-group type ... No. 194
Total magnetic moment ... 0.00 μB per formula unit

=====

Energy relative to the most stable one, in meV per atom: A 186; B 0; C 128; D 316

=====

## A
A plane-wave DFT calculation with PBE-GGA was carried out for crystalline KOsRh at its relaxed geometry.

Lattice parameters (Å, degrees): 6.540 6.540 6.540 156.07 144.41 43.35
Element x y z (fractional)
Os  0.283  0.283  0.000
K  0.000  0.000  0.000
Rh  0.716  0.716  0.000

Space-group type ... No. 44
Total magnetic moment ... 0.00 μB per formula unit

=====

## B
A plane-wave DFT calculation with PBE-GGA was carried out for crystalline KOsRh at its relaxed geometry.

Lattice parameters (Å, degrees): 4.600 4.600 7.234 90.00 90.00 90.00
Element x y z (fractional)
Os  0.000  0.500  0.624
Os  0.500  0.000  0.376
Rh  0.000  0.000  0.500
K  0.000  0.500  0.140
K  0.500  0.000  0.860
Rh  0.500  0.500  0.500

Space-group type ... No. 129
Total magnetic moment ... 0.00 μB per formula unit

=====

## C
A plane-wave DFT calculation with PBE-GGA was carried out for crystalline KOsRh at its relaxed geometry.

Lattice parameters (Å, degrees): 4.566 4.565 7.465 90.39 90.39 79.90
Element x y z (fractional)
K  0.918  0.649  0.537
Rh  0.955  0.686  0.023
K  0.410  0.141  0.253
Os  0.452  0.607  0.895
Os  0.876  0.183  0.895
Rh  0.374  0.104  0.766

Space-group type ... No. 12
Total magnetic moment ... 0.00 μB per formula unit

=====

Energy relative to the most stable one, in meV per atom: A 64; B 231; C 0

=====

## A
A plane-wave DFT calculation with PBE-GGA was carried out for crystalline KOsRh at its relaxed geometry.

Lattice parameters (Å, degrees): 4.109 4.109 5.550 90.00 90.00 120.00
Element x y z (fractional)
K  0.667  0.333  0.500
Os  0.333  0.667  0.000
Rh  0.000  0.000  0.000

Space-group type ... No. 187
Total magnetic moment ... 0.00 μB per formula unit

=====

## B
A plane-wave DFT calculation with PBE-GGA was carried out for crystalline KOsRh at its relaxed geometry.

Lattice parameters (Å, degrees): 5.653 5.653 9.222 90.00 90.00 120.00
Element x y z (fractional)
Rh  0.000  0.000  0.250
Os  0.000  0.000  0.000
Rh  0.000  0.000  0.750
Os  0.000  0.000  0.500
K  0.333  0.667  0.250
K  0.667  0.333  0.750

Space-group type ... No. 194
Total magnetic moment ... 1.72 μB per formula unit

=====

Energy relative to the most stable one, in meV per atom: A 0; B 996

=====

## A
A plane-wave DFT calculation with PBE-GGA was carried out for crystalline KOsRh at its relaxed geometry.

Lattice parameters (Å, degrees): 4.563 4.563 7.896 90.00 90.00 120.00
Element x y z (fractional)
K  0.667  0.333  0.500
Os  0.000  0.000  0.351
Rh  0.333  0.667  0.326
K  0.667  0.333  0.000
Rh  0.333  0.667  0.674
Os  0.000  0.000  0.649

Space-group type ... No. 187
Total magnetic moment ... 0.00 μB per formula unit

=====

## B
A plane-wave DFT calculation with PBE-GGA was carried out for crystalline KOsRh at its relaxed geometry.

Lattice parameters (Å, degrees): 6.454 6.454 5.093 90.00 90.00 139.75
Element x y z (fractional)
K  0.772  0.228  0.250
K  0.228  0.772  0.750
Os  0.500  0.500  0.500
Os  0.500  0.500  0.000
Rh  0.032  0.968  0.250
Rh  0.968  0.032  0.750

Space-group type ... No. 63
Total magnetic moment ... 0.00 μB per formula unit

=====

Energy relative to the most stable one, in meV per atom: A 521; B 0

=====

## A
A plane-wave DFT calculation with PBE-GGA was carried out for crystalline KOsRu at its relaxed geometry.

Lattice parameters (Å, degrees): 8.320 8.114 2.756 84.60 76.15 19.25
Element x y z (fractional)
Ru  0.316  0.316  0.684
Os  0.684  0.684  0.316
K  0.000  0.000  0.000

Space-group type ... No. 42
Total magnetic moment ... 0.00 μB per formula unit

=====

## B
A plane-wave DFT calculation with PBE-GGA was carried out for crystalline KOsRu at its relaxed geometry.

Lattice parameters (Å, degrees): 4.551 4.551 4.551 60.00 60.00 60.00
Element x y z (fractional)
Ru  0.500  0.500  0.500
Os  0.000  0.000  0.000
K  0.250  0.250  0.250

Space-group type ... No. 216
Total magnetic moment ... 3.72 μB per formula unit

=====

Energy relative to the most stable one, in meV per atom: A 0; B 2050

=====

## A
A plane-wave DFT calculation with PBE-GGA was carried out for crystalline KOsRu at its relaxed geometry.

Lattice parameters (Å, degrees): 4.418 4.418 4.418 60.00 60.00 60.00
Element x y z (fractional)
Os  0.500  0.500  0.500
K  0.000  0.000  0.000
Ru  0.250  0.250  0.250

Space-group type ... No. 216
Total magnetic moment ... 0.00 μB per formula unit

=====

## B
A plane-wave DFT calculation with PBE-GGA was carried out for crystalline KOsRu at its relaxed geometry.

Lattice parameters (Å, degrees): 7.478 7.478 7.478 157.08 157.08 32.64
Element x y z (fractional)
K  0.999  0.999  0.000
Os  0.298  0.298  0.000
Ru  0.703  0.703  0.000

Space-group type ... No. 107
Total magnetic moment ... 0.00 μB per formula unit

=====

Energy relative to the most stable one, in meV per atom: A 871; B 0

=====

## A
A plane-wave DFT calculation with PBE-GGA was carried out for crystalline KOs3S at its relaxed geometry.

Lattice parameters (Å, degrees): 4.476 4.476 4.476 90.00 90.00 90.00
Element x y z (fractional)
S  0.000  0.000  0.000
Os  0.500  0.000  0.000
Os  0.000  0.000  0.500
K  0.500  0.500  0.500
Os  0.000  0.500  0.000

Space-group type ... No. 221
Total magnetic moment ... 0.57 μB per formula unit

=====

## B
A plane-wave DFT calculation with PBE-GGA was carried out for crystalline KOs3S at its relaxed geometry.

Lattice parameters (Å, degrees): 4.635 4.635 4.635 90.00 90.00 90.00
Element x y z (fractional)
S  0.500  0.500  0.500
Os  0.000  0.500  0.000
Os  0.500  0.000  0.000
Os  0.000  0.000  0.500
K  0.000  0.000  0.000

Space-group type ... No. 221
Total magnetic moment ... 0.01 μB per formula unit

=====

Energy relative to the most stable one, in meV per atom: A 0; B 2851

=====

## A
A plane-wave DFT calculation with PBE-GGA was carried out for crystalline KOsS3 at its relaxed geometry.

Lattice parameters (Å, degrees): 5.379 5.379 5.379 90.00 90.00 90.00
Element x y z (fractional)
K  0.000  0.000  0.000
S  0.000  0.000  0.500
S  0.500  0.000  0.000
S  0.000  0.500  0.000
Os  0.500  0.500  0.500

Space-group type ... No. 221
Total magnetic moment ... 7.95 μB per formula unit

=====

## B
A plane-wave DFT calculation with PBE-GGA was carried out for crystalline KOsS3 at its relaxed geometry.

Lattice parameters (Å, degrees): 5.798 6.824 6.824 120.00 89.99 90.00
Element x y z (fractional)
S  0.250  0.841  0.683
K  0.250  0.333  0.667
S  0.250  0.841  0.159
S  0.250  0.317  0.159
Os  0.500  0.000  0.000
S  0.750  0.683  0.841
Os  0.000  0.000  0.000
K  0.750  0.667  0.333
S  0.750  0.159  0.317
S  0.750  0.159  0.841

Space-group type ... No. 194
Total magnetic moment ... 0.00 μB per formula unit

=====

## C
A plane-wave DFT calculation with PBE-GGA was carried out for crystalline KOsS3 at its relaxed geometry.

Lattice parameters (Å, degrees): 4.740 4.740 4.740 90.00 90.00 90.00
Element x y z (fractional)
S  0.000  0.000  0.500
S  0.500  0.000  0.000
S  0.000  0.500  0.000
Os  0.000  0.000  0.000
K  0.500  0.500  0.500

Space-group type ... No. 221
Total magnetic moment ... 0.00 μB per formula unit

=====

Energy relative to the most stable one, in meV per atom: A 2787; B 0; C 412